[1]
Density functional theory data (PBE) for crystalline Hf8SiPt2 at its relaxed geometry.

Results
ΔE_f (raw) = -0.34 eV per atom

POSCAR file:
```
Hf8SiPt2
1.0
-4.0483 -2.5085 0.6849
5.0928 -5.0552 2.4227
-1.4487 6.0281 4.3502
Hf Pt Si
8 2 1
Direct
0.9030 0.9105 0.6888
0.6896 0.3849 0.3849
0.0970 0.3112 0.0895
0.5000 0.7794 0.2206
0.0970 0.0895 0.3112
0.9030 0.6888 0.9105
0.3104 0.6151 0.6151
0.5000 0.2206 0.7794
0.0000 0.3087 0.6913
0.0000 0.6913 0.3087
0.5000 0.0000 0.0000
```

=====

[2]
Density functional theory data (PBE) for crystalline AcUN2F at its relaxed geometry.

Results
ΔE_f (raw) = -2.05 eV per atom

POSCAR file:
```
AcUN2F
1.0
3.6757 0.0000 0.0000
0.0000 3.6757 0.0000
0.0000 0.0000 11.6993
N Ac U F
4 2 2 2
Direct
0.5000 0.0000 0.9045
0.0000 0.5000 0.7279
0.0000 0.5000 0.0955
0.5000 0.0000 0.2721
0.5000 0.0000 0.6579
0.0000 0.5000 0.3421
0.0000 0.5000 0.9016
0.5000 0.0000 0.0984
0.0000 0.0000 0.5000
0.5000 0.5000 0.5000
```

=====

[3]
Density functional theory data (PBE) for crystalline Pr2HoAu2 at its relaxed geometry.

Results
E_form = -0.6157 eV/atom

POSCAR file:
```
Pr2HoAu2
1.0
-4.1175 -1.2964 0.7094
2.6288 -7.2229 2.0586
0.5612 2.3639 7.5773
Ho Pr Au
2 4 4
Direct
0.5000 0.5000 0.0000
0.5000 0.0000 0.5000
0.0000 0.8356 0.8356
0.0000 0.6644 0.3356
0.0000 0.3356 0.6644
0.0000 0.1644 0.1644
0.5000 0.3660 0.3660
0.5000 0.8660 0.1340
0.5000 0.6340 0.6340
0.5000 0.1340 0.8660
```

=====

[4]
Density functional theory data (PBE) for crystalline InFeCuPt at its relaxed geometry.

Results
E_form = -0.0633 eV/atom

POSCAR file:
```
InFeCuPt
1.0
-1.5300 -1.1815 4.0030
2.8160 -0.4607 3.4086
-0.0343 2.9495 3.3257
Fe Cu Pt In
1 1 1 1
Direct
0.5000 0.5000 0.5000
0.2500 0.2500 0.2500
0.7500 0.7500 0.7500
0.0000 0.0000 0.0000
```

=====

[5]
Density functional theory data (PBE) for crystalline LaNd3Dy5 at its relaxed geometry.

Results
E_form = 0.4863 eV/atom

POSCAR file:
```
LaNd3Dy5
1.0
-3.3652 8.3215 3.4362
-6.6258 -2.1495 6.6224
-0.4462 3.5674 11.2667
Nd Dy La
6 10 2
Direct
0.0000 0.0000 0.0000
0.6615 0.6615 0.3610
0.3385 0.3385 0.6390
0.6960 0.6960 0.8110
0.3040 0.3040 0.1890
0.0000 0.0000 0.5000
0.2574 0.7426 0.0000
0.5013 0.5013 0.7794
0.8509 0.3543 0.2493
0.8195 0.8195 0.9556
0.1491 0.6457 0.7507
0.6457 0.1491 0.7507
0.1805 0.1805 0.0444
0.7426 0.2574 0.0000
0.3543 0.8509 0.2493
0.4987 0.4987 0.2206
0.8342 0.8342 0.4113
0.1658 0.1658 0.5887
```

=====

[6]
Density functional theory data (PBE) for crystalline Ag2PRh at its relaxed geometry.

Results
E_form = 0.3907 eV/atom

POSCAR file:
```
Ag2PRh
1.0
-1.7282 -1.3276 1.7039
2.0344 -1.7337 0.7126
2.2482 5.2599 6.3786
Ag Rh P
2 1 1
Direct
0.0000 0.0000 0.7475
0.0000 0.0000 0.2525
0.5000 0.5000 0.5000
0.5000 0.5000 0.0000
```

=====

[7]
Density functional theory data (PBE) for crystalline TaMn2Cr at its relaxed geometry.

Results
E_form = 0.0540 eV/atom

POSCAR file:
```
TaMn2Cr
1.0
-0.4759 3.0386 -3.8527
0.0116 0.2914 -4.9211
-3.7880 0.0250 -1.7928
Mn Ta Cr
2 1 1
Direct
0.9920 0.9920 0.0079
0.7454 0.7454 0.7546
0.5031 0.5031 0.4969
0.2595 0.2595 0.2405
```

=====

[8]
Density functional theory data (PBE) for crystalline SiBWI2 at its relaxed geometry.

Results
ΔE_f (raw) = 2.13 eV per atom

POSCAR file:
```
SiBWI2
1.0
-4.9225 2.4298 1.0405
-2.3507 -4.0118 -1.7523
-0.0168 -2.2282 5.1237
W I B Si
1 2 1 1
Direct
0.0000 0.5000 0.0000
0.0000 0.0000 0.5000
0.5000 0.0000 0.0000
0.5000 0.5000 0.5000
0.0000 0.0000 0.0000
```

=====

| no. | total DFT energy (no corrections) (eV per atom) |
| --- | --- |
| 1 | -9.17 |
| 2 | -8.83 |
| 3 | -4.75 |
| 4 | -5.40 |
| 5 | -4.21 |
| 6 | -4.23 |
| 7 | -9.90 |
| 8 | -3.50 |